(1)
Entry from Alexandria via LeMat-Bulk: TlBMo2Rh after structural relaxation (GGA-PBEsol).

Lattice parameters (Å, degrees): 4.6588 4.6588 4.9837 90.00 90.00 90.00
With the nearest neighbours (Å) after each atom.
Positions (direct):
Tl (0.0000, 0.0000, 0.0000)  2 Rh 2.49
B (0.5000, 0.5000, 0.0000)  4 Tl 3.29, 8 Mo 3.41
Mo (0.0000, 0.5000, 0.5000)  2 Rh 2.33
Mo (0.5000, 0.0000, 0.5000)  2 Rh 2.33
Rh (0.0000, 0.0000, 0.5000)  4 Mo 2.33, 2 Tl 2.49

DOS(E_F), states/eV per cell: 5.7
ΔH_f (0 K), eV per atom: 2.301
Space-group type: P4/mmm

(2)
Entry from Alexandria via LeMat-Bulk: B2MoRu after structural relaxation (GGA-PBEsol).

Lattice parameters (Å, degrees): 2.9514 4.4945 5.9493 90.00 90.00 90.00
With the nearest neighbours (Å) after each atom.
Positions (direct):
B (0.0000, 0.1296, 0.0000)  2 B 1.78
B (0.0000, 0.8704, 0.5000)  2 B 1.78
B (0.5000, 0.3354, 0.9415)  2 B 1.78
B (0.5000, 0.6646, 0.4415)  2 B 1.78
Mo (0.0000, 0.3797, 0.6485)  7 B 2.29-2.45
Mo (0.0000, 0.6203, 0.1485)  7 B 2.29-2.45
Ru (0.5000, 0.1280, 0.2877)  6 B 2.26-2.28
Ru (0.5000, 0.8720, 0.7877)  6 B 2.26-2.28

DOS(E_F), states/eV per cell: 4.8
ΔH_f (0 K), eV per atom: -0.356
Space-group type: Pmc2_1

(3)
Entry from Alexandria via LeMat-Bulk: B4MoRu2 after structural relaxation (GGA-PBEsol).

Lattice parameters (Å, degrees): 6.9136 6.9136 6.9136 155.19 152.53 37.34
With the nearest neighbours (Å) after each atom.
Positions (direct):
B (0.0698, 0.0698, 0.0000)  3 B 1.80-1.83
B (0.1472, 0.6472, 0.5000)  2 B 1.80
B (0.8528, 0.3528, 0.5000)  2 B 1.80
B (0.9302, 0.9302, 0.0000)  3 B 1.80-1.83
Mo (0.5000, 0.5000, 0.0000)  12 B 2.39-2.53
Ru (0.3195, 0.8195, 0.5000)  7 B 2.19-2.26
Ru (0.6805, 0.1805, 0.5000)  7 B 2.19-2.26

DOS(E_F), states/eV per cell: 3.3
ΔH_f (0 K), eV per atom: -0.367
Space-group type: Immm

(4)
Entry from Alexandria via LeMat-Bulk: BSbMo3 after structural relaxation (GGA-PBEsol).

Lattice parameters (Å, degrees): 4.2166 4.2166 4.2166 90.00 90.00 90.00
With the nearest neighbours (Å) after each atom.
Positions (direct):
B (0.0000, 0.0000, 0.0000)  6 Mo 2.11
Sb (0.5000, 0.5000, 0.5000)  12 Mo 2.98
Mo (0.0000, 0.0000, 0.5000)  2 B 2.11
Mo (0.0000, 0.5000, 0.0000)  2 B 2.11
Mo (0.5000, 0.0000, 0.0000)  2 B 2.11

Formation energy without anion corrections, eV/atom: 0.24
DOS(E_F), states/eV per cell: 5.1
Space-group type: Pm-3m

(5)
Entry from Alexandria via LeMat-Bulk: ScBMo3 after structural relaxation (GGA-PBEsol).

Lattice parameters (Å, degrees): 4.4565 4.4565 4.4565 90.00 90.00 90.00
With the nearest neighbours (Å) after each atom.
Positions (direct):
Sc (0.0000, 0.0000, 0.0000)  6 Mo 2.23
B (0.5000, 0.5000, 0.5000)  12 Mo 3.15
Mo (0.0000, 0.0000, 0.5000)  2 Sc 2.23
Mo (0.0000, 0.5000, 0.0000)  2 Sc 2.23
Mo (0.5000, 0.0000, 0.0000)  2 Sc 2.23

DOS(E_F), states/eV per cell: 5.0
ΔH_f (0 K), eV per atom: 2.805
Space-group type: Pm-3m

(6)
Entry from Alexandria via LeMat-Bulk: ScB2Mo2 after structural relaxation (GGA-PBEsol).

Lattice parameters (Å, degrees): 6.0687 6.0687 3.1658 90.00 90.00 90.00
With the nearest neighbours (Å) after each atom.
Positions (direct):
Sc (0.0000, 0.0000, 0.0000)  4 B 2.47, 8 Mo 2.75
Sc (0.5000, 0.5000, 0.0000)  4 B 2.47, 8 Mo 2.75
B (0.1067, 0.3933, 0.0000)  1 B 1.83
B (0.3933, 0.8933, 0.0000)  1 B 1.83
B (0.6067, 0.1067, 0.0000)  1 B 1.83
B (0.8933, 0.6067, 0.0000)  1 B 1.83
Mo (0.1722, 0.6722, 0.5000)  6 B 2.35-2.47
Mo (0.3278, 0.1722, 0.5000)  6 B 2.35-2.47
Mo (0.6722, 0.8278, 0.5000)  6 B 2.35-2.47
Mo (0.8278, 0.3278, 0.5000)  6 B 2.35-2.47

DOS(E_F), states/eV per cell: 3.4
ΔH_f (0 K), eV per atom: -0.493
Space-group type: P4/mbm